Record 1
The following is a GGA-PBE calculation of Pa2Co3Ge4Ru after structural relaxation, from Alexandria via LeMat-Bulk.

Lattice parameters (Å, degrees): 4.107 4.107 9.581 90.00 90.00 90.00
Atoms (fractional coordinates):
Pa1 0.000 0.500 0.248
Pa2 0.500 0.000 0.752
Co1 0.000 0.000 0.000
Co2 0.000 0.500 0.623
Co3 0.500 0.000 0.377
Ge1 0.000 0.000 0.500
Ge2 0.000 0.500 0.862
Ge3 0.500 0.000 0.138
Ge4 0.500 0.500 0.500
Ru1 0.500 0.500 0.000

Summary:
DFT formation energy = -53.7 kJ per mole of atoms
Density = 10.589 g/cm3

Record 2
The following is a GGA-PBE calculation of BeGa2Sb2 after structural relaxation, from Alexandria via LeMat-Bulk.

Lattice parameters (Å, degrees): 6.671 6.671 5.359 90.00 90.00 90.00
Atoms (fractional coordinates):
Be1 0.000 0.000 0.000
Be2 0.500 0.500 0.000
Ga1 0.177 0.323 0.500
Ga2 0.323 0.823 0.500
Ga3 0.677 0.177 0.500
Ga4 0.823 0.677 0.500
Sb1 0.152 0.652 0.000
Sb2 0.348 0.152 0.000
Sb3 0.652 0.848 0.000
Sb4 0.848 0.348 0.000

Summary:
Total energy = -32.9 eV for the cell shown
Density = 5.459 g/cm3

Record 3
The following is a GGA-PBE calculation of TlFeRu2 after structural relaxation, from Alexandria via LeMat-Bulk.

Lattice parameters (Å, degrees): 4.900 4.900 4.900 133.01 133.01 68.64
Atoms (fractional coordinates):
Tl1 0.000 0.000 0.000
Fe1 0.250 0.750 0.500
Ru1 0.500 0.500 0.000
Ru2 0.750 0.250 0.500

Summary:
Excess energy over the best structure of this formula in the dataset = 130 meV/atom
DFT formation energy = 51.5 kJ per mole of atoms
Density = 12.431 g/cm3